This record from the Alexandria database describes a relaxed structure of TlBPt2. The functional is PBE.

Unit cell a=6.8310 b=6.8310 c=5.7999 alpha=90.00 beta=90.00 gamma=90.00
Space group I-42d (No. 122)
Inequivalent atoms, fractional coordinates:
Tl 0.0000 0.0000 0.0000 x4
B 0.0000 0.0000 0.5000 x4
Pt 0.1365 0.2500 0.6250 x8

## Properties
**Energy relative to the elements**: -61 meV/atom
**Volume**: 68 Å³/f.u.



This record from the Alexandria database describes a relaxed structure of InRu2O6. The functional is PBE.

Unit cell a=8.8691 b=8.8691 c=4.9874 alpha=90.00 beta=90.00 gamma=120.00
Space group P-3m1 (No. 164)
Inequivalent atoms, fractional coordinates:
In 0.0000 0.0000 0.0000 x1
In 0.3333 0.6667 0.4809 x2
Ru 0.0000 0.3591 0.0000 x6
O 0.0992 0.5496 0.7362 x6
O 0.1275 0.2550 0.8122 x6
O 0.2225 0.4450 0.2035 x6

## Properties
**ΔE_f (raw)**: -1.0411 eV/atom
**Volume**: 113 Å³/f.u.



This record from the Alexandria database describes a relaxed structure of ErPuGaPd. The functional is PBE.

Unit cell a=7.0899 b=7.0899 c=7.0899 alpha=90.00 beta=90.00 gamma=90.00
Space group F-43m (No. 216)
Inequivalent atoms, fractional coordinates:
Er 0.0000 0.0000 0.0000 x4
Pu 0.0000 0.0000 0.5000 x4
Ga 0.2500 0.2500 0.7500 x4
Pd 0.2500 0.2500 0.2500 x4

## Properties
**Energy relative to the elements**: -473 meV/atom
**Volume**: 89 Å³/f.u.



This record from the Alexandria database describes a relaxed structure of Ce2Ho6Tm3Th. The functional is PBE.

Unit cell a=6.0815 b=10.5296 c=11.6369 alpha=90.00 beta=100.05 gamma=90.00
Space group C2/m (No. 12)
Inequivalent atoms, fractional coordinates:
Ce 0.0000 0.1667 0.0000 x4
Ho 0.2487 0.5000 0.7514 x4
Ho 0.2500 0.1662 0.7512 x8
Tm 0.0000 0.0000 0.5000 x2
Tm 0.0000 0.3332 0.5000 x4
Th 0.0000 0.5000 0.0000 x2

## Properties
**Energy relative to the elements**: 44 meV/atom
**Volume**: 367 Å³/f.u.



This record from the Alexandria database describes a relaxed structure of Pm2Sm5Y12. The functional is PBE.

Unit cell a=15.6389 b=9.4073 c=8.7030 alpha=90.00 beta=92.07 gamma=90.00
Space group C2/m (No. 12)
Inequivalent atoms, fractional coordinates:
Pm 0.0000 0.1742 0.0000 x4
Sm 0.0000 0.5000 0.5000 x2
Sm 0.2047 0.0000 0.0187 x4
Sm 0.2297 0.5000 0.5725 x4
Y 0.0578 0.0000 0.3322 x4
Y 0.0766 0.5000 0.8739 x4
Y 0.1290 0.1899 0.6618 x8
Y 0.1495 0.3216 0.2387 x8

## Properties
**Energy relative to the elements**: 122 meV/atom
**Volume**: 640 Å³/f.u.
**Relative energy among the computed polymorphs**: 73.0 meV/atom



This record from the Alexandria database describes a relaxed structure of SrY2CdN. The functional is PBE.

Unit cell a=4.8282 b=4.8282 c=5.3424 alpha=90.00 beta=90.00 gamma=90.00
Space group P4/mmm (No. 123)
Inequivalent atoms, fractional coordinates:
Sr 0.0000 0.0000 0.0000 x1
Y 0.0000 0.5000 0.5000 x2
Cd 0.5000 0.5000 0.0000 x1
N 0.0000 0.0000 0.5000 x1

## Properties
**ΔE_f (raw)**: -0.6553 eV/atom
**Volume**: 125 Å³/f.u.



This record from the Alexandria database describes a relaxed structure of FeTe2Ir. The functional is PBE.

Unit cell a=6.8346 b=6.8346 c=6.8346 alpha=90.00 beta=90.00 gamma=90.00
Space group F-43m (No. 216)
Inequivalent atoms, fractional coordinates:
Fe 0.0000 0.0000 0.0000 x4
Te 0.0000 0.0000 0.5000 x4
Te 0.2500 0.2500 0.7500 x4
Ir 0.2500 0.2500 0.2500 x4

## Properties
**ΔE_f (raw)**: 0.8590 eV/atom
**Volume**: 80 Å³/f.u.
**Relative energy among the computed polymorphs**: 857.0 meV/atom



This record from the Alexandria database describes a relaxed structure of LiMg3Sn12. The functional is PBE.

Unit cell a=4.6755 b=4.6755 c=18.8767 alpha=90.00 beta=90.00 gamma=90.00
Space group P4/mmm (No. 123)
Inequivalent atoms, fractional coordinates:
Li 0.0000 0.0000 0.0000 x1
Mg 0.0000 0.0000 0.2489 x2
Mg 0.0000 0.0000 0.5000 x1
Sn 0.0000 0.5000 0.1221 x4
Sn 0.0000 0.5000 0.3743 x4
Sn 0.5000 0.5000 0.0000 x1
Sn 0.5000 0.5000 0.2488 x2
Sn 0.5000 0.5000 0.5000 x1

## Properties
**Energy relative to the elements**: -44 meV/atom
**Volume**: 413 Å³/f.u.



This record from the Alexandria database describes a relaxed structure of SiTeIN2. The functional is PBE.

Unit cell a=3.8815 b=3.8815 c=6.9856 alpha=90.00 beta=90.00 gamma=90.00
Space group P4/mmm (No. 123)
Inequivalent atoms, fractional coordinates:
Si 0.0000 0.0000 0.0000 x1
Te 0.5000 0.5000 0.5000 x1
I 0.0000 0.0000 0.5000 x1
N 0.0000 0.5000 0.0000 x2

## Properties
**ΔE_f (raw)**: 1.2990 eV/atom
**Volume**: 105 Å³/f.u.
**Relative energy among the computed polymorphs**: 90.2 meV/atom



This record from the Alexandria database describes a relaxed structure of Cs2TmMn2Se4. The functional is PBE.

Unit cell a=15.5902 b=4.2363 c=8.4724 alpha=90.00 beta=108.12 gamma=90.00
Space group C2/m (No. 12)
Inequivalent atoms, fractional coordinates:
Cs 0.1335 0.0000 0.0541 x4
Tm 0.0000 0.0000 0.5000 x2
Mn 0.1795 0.5000 0.4834 x4
Se 0.0209 0.5000 0.2839 x4
Se 0.1938 0.0000 0.6597 x4

## Properties
**ΔE_f (raw)**: -1.0855 eV/atom
**Volume**: 266 Å³/f.u.



This record from the Alexandria database describes a relaxed structure of Tb5ErTmIn2. The functional is PBE.

Unit cell a=7.6648 b=7.6648 c=19.1511 alpha=90.00 beta=90.00 gamma=90.00
Space group I4/mcm (No. 140)
Inequivalent atoms, fractional coordinates:
Tb 0.0000 0.0000 0.0000 x4
Tb 0.2025 0.2975 0.1263 x16
Er 0.0000 0.0000 0.2500 x4
Tm 0.0000 0.5000 0.2500 x4
In 0.1231 0.3769 0.5000 x8

## Properties
**Energy relative to the elements**: 2 meV/atom
**Volume**: 281 Å³/f.u.



This record from the Alexandria database describes a relaxed structure of Ti4FeNi. The functional is PBE.

Unit cell a=11.2589 b=11.2589 c=11.2589 alpha=90.00 beta=90.00 gamma=90.00
Space group F-43m (No. 216)
Inequivalent atoms, fractional coordinates:
Ti 0.0000 0.0000 0.1842 x24
Ti 0.0571 0.2500 0.2500 x24
Ti 0.1231 0.1231 0.6231 x16
Fe 0.1632 0.1632 0.8368 x16
Ni 0.0945 0.0945 0.4055 x16

## Properties
**Energy relative to the elements**: -265 meV/atom
**Volume**: 89 Å³/f.u.
**Relative energy among the computed polymorphs**: 0.0 meV/atom



Number 1: final energy -85.5 eV per cell, total magnetization 0.0 μB/f.u.. Number 2: final energy -181.2 eV per cell, total magnetization 0.0 μB/f.u.. Number 3: final energy -116.0 eV per cell, total magnetization 5.3 μB/f.u.. Number 4: final energy -119.3 eV per cell, total magnetization 1.2 μB/f.u.. Number 5: final energy -216.7 eV per cell, total magnetization 0.0 μB/f.u.. Number 6: final energy -27.1 eV per cell, total magnetization 0.0 μB/f.u.. Number 7: final energy -80.7 eV per cell, total magnetization 3.1 μB/f.u.. Number 8: final energy -55.4 eV per cell, total magnetization 0.0 μB/f.u.. Number 9: final energy -20.3 eV per cell, total magnetization 0.0 μB/f.u.. Number 10: final energy -96.5 eV per cell, total magnetization 9.0 μB/f.u.. Number 11: final energy -150.6 eV per cell, total magnetization 0.0 μB/f.u.. Number 12: final energy -758.7 eV per cell, total magnetization 0.0 μB/f.u..